La2VF: relaxed, PBE+U.

The structure in POSCAR format:
```
La2VF
1.0
7.5295 0.0000 0.0000
0.0000 7.5295 0.0000
3.7648 3.7648 3.9027
F La V
2 4 2
direct
0.2500 0.7500 0.5000 F
0.5000 0.5000 0.0000 F
0.5446 0.1250 0.2500 La
0.3750 0.4554 0.7500 La
0.2054 0.6250 0.2500 La
0.8750 0.7946 0.7500 La
0.7500 0.2500 0.5000 V
0.0000 0.0000 0.0000 V
```

Calculated values
- Raw total energy: -43.55 eV for the cell shown
- Crystal system: tetragonal
- Space-group type: I-42d, No. 122
- Magnetization: 0.998 μB per atom